(1)
Density functional theory data (PBE-GGA) for Cr5CuRh6 after structural relaxation.

abc: 3.8352 7.2155 11.5813
angles: 90.00 90.00 90.00
Last column: nearest neighbours and their distance in Å.
Space group Immm (No. 71)
Unique sites:
Cr (0.0000, 0.0000, 0.0000) [2 per cell]  8 Rh 2.64-2.65, 4 Cr 2.67
Cr (0.0000, 0.0000, 0.3293) [4 per cell]  8 Rh 2.60-2.67, 2 Cr 2.74, 2 Cu 2.75
Cr (0.0000, 0.5000, 0.3402) [4 per cell]  8 Rh 2.60-2.70, 4 Cr 2.67-2.74
Cu (0.0000, 0.5000, 0.0000) [2 per cell]  8 Rh 2.62-2.65, 4 Cr 2.75
Rh (0.0000, 0.2479, 0.5000) [4 per cell]  6 Cr 2.60-2.67, 2 Cu 2.62, 4 Rh 2.73
Rh (0.0000, 0.2492, 0.1677) [8 per cell]  7 Cr 2.60-2.70, 1 Cu 2.65, 4 Rh 2.70-2.73

The energy of formation is -52 meV per atom.



(2)
Density functional theory data (PBE-GGA) for CeSi4Pd8 after structural relaxation.

abc: 8.7311 8.7311 5.3073
angles: 90.00 90.00 90.00
Last column: nearest neighbours and their distance in Å.
Space group I4/mmm (No. 139)
Unique sites:
Ce (0.0000, 0.0000, 0.0000) [2 per cell]  4 Pd 2.87
Si (0.2500, 0.2500, 0.2500) [8 per cell]  8 Pd 2.56-2.65, 2 Si 2.65
Pd (0.0000, 0.2251, 0.5000) [8 per cell]  4 Si 2.56, 6 Pd 2.78-2.83
Pd (0.0000, 0.3292, 0.0000) [8 per cell]  4 Si 2.65, 4 Pd 2.80-2.83, 1 Ce 2.87

As for the uncorrected formation energy: -14.74 kcal/mol of atoms.